Computed, not measured: KZn4In after structural relaxation at the PBE-GGA level of DFT.

Cell lengths 5.6548, 5.6548, 5.6548 Å; angles 60.00, 60.00, 60.00 degrees
Fractional positions:
K (0.0000, 0.0000, 0.0000)
Zn (0.1274, 0.6242, 0.6242)
Zn (0.6242, 0.1274, 0.6242)
Zn (0.6242, 0.6242, 0.1274)
Zn (0.6242, 0.6242, 0.6242)
In (0.2500, 0.2500, 0.2500)

Total energy (eV per atom): -1.40
Size of the total moment (Bohr magnetons per cell): 0.000
Formation enthalpy at 0 K (kJ per mole of atoms): 8.9
Space group: F-43m
Crystal system: cubic